No. 1
Below is an optimized crystal structure of TbHoAl, with properties calculated at the GGA-PBE level.

Unit cell a=4.5264 b=4.5264 c=8.0762 alpha=90.00 beta=90.00 gamma=90.00
Closest atoms and distances in Å follow each position.
Fractional positions:
Tb 0.2500 0.7500 0.0000  4 Al 3.13, 4 Tb 3.20
Tb 0.7500 0.2500 0.0000  4 Al 3.13, 4 Tb 3.20
Ho 0.2500 0.2500 0.3580  5 Al 3.02-3.28
Ho 0.7500 0.7500 0.6420  5 Al 3.02-3.28
Al 0.2500 0.2500 0.7323  5 Ho 3.02-3.28, 4 Tb 3.13
Al 0.7500 0.7500 0.2677  5 Ho 3.02-3.28, 4 Tb 3.13

Results
E_form: -0.151 eV per atom
total magnetic moment: 0.001 μB/f.u.
crystal system: tetragonal
raw total energy: -4.468 eV/atom

=====

No. 2
Below is an optimized crystal structure of Tb2Ho3Al, with properties calculated at the GGA-PBE level.

Unit cell a=4.7864 b=14.8362 c=4.8149 alpha=90.00 beta=90.00 gamma=90.00
Closest atoms and distances in Å follow each position.
Fractional positions:
Tb 0.0000 0.1593 0.0000  2 Al 3.36, 8 Ho 3.37-3.55, 2 Tb 3.60
Tb 0.0000 0.8407 0.0000  2 Al 3.36, 8 Ho 3.37-3.55, 2 Tb 3.60
Tb 0.5000 0.3407 0.0000  2 Al 3.36, 8 Ho 3.37-3.55, 2 Tb 3.60
Tb 0.5000 0.6593 0.0000  2 Al 3.36, 8 Ho 3.37-3.55, 2 Tb 3.60
Ho 0.0000 0.0000 0.5000  4 Tb 3.37, 4 Al 3.39, 4 Ho 3.42
Ho 0.0000 0.3355 0.5000  6 Tb 3.40-3.55, 4 Ho 3.42-3.49, 2 Al 3.43
Ho 0.0000 0.6645 0.5000  6 Tb 3.40-3.55, 4 Ho 3.42-3.49, 2 Al 3.43
Ho 0.5000 0.1645 0.5000  6 Tb 3.40-3.55, 4 Ho 3.42-3.49, 2 Al 3.43
Ho 0.5000 0.5000 0.5000  4 Tb 3.37, 4 Al 3.39, 4 Ho 3.42
Ho 0.5000 0.8355 0.5000  6 Tb 3.40-3.55, 4 Ho 3.42-3.49, 2 Al 3.43
Al 0.0000 0.5000 0.0000  4 Tb 3.36, 8 Ho 3.39-3.43
Al 0.5000 0.0000 0.0000  4 Tb 3.36, 8 Ho 3.39-3.43

Results
E_form: -0.094 eV per atom
total magnetic moment: 0.000 μB/f.u.
crystal system: orthorhombic
raw total energy: -4.550 eV/atom

=====

No. 3
Below is an optimized crystal structure of Tb8Ho6Al, with properties calculated at the GGA-PBE level.

Unit cell a=9.3306 b=9.3306 c=6.2320 alpha=90.00 beta=90.00 gamma=120.00
Closest atoms and distances in Å follow each position.
Fractional positions:
Tb 0.0420 0.7796 0.1957  1 Al 2.96
Tb 0.2204 0.2624 0.1957  1 Al 2.96
Tb 0.2624 0.0420 0.8043  1 Al 2.96
Tb 0.3333 0.6667 0.1897  3 Tb 3.37, 6 Ho 3.64-3.75
Tb 0.6667 0.3333 0.8103  3 Tb 3.37, 6 Ho 3.64-3.75
Tb 0.7376 0.9580 0.1957  1 Al 2.96
Tb 0.7796 0.7376 0.8043  1 Al 2.96
Tb 0.9580 0.2204 0.8043  1 Al 2.96
Ho 0.0944 0.6393 0.6864  1 Ho 3.27, 6 Tb 3.35-3.64
Ho 0.3607 0.4552 0.6864  1 Ho 3.27, 6 Tb 3.35-3.64
Ho 0.4552 0.0944 0.3136  1 Ho 3.27, 6 Tb 3.35-3.64
Ho 0.5448 0.9056 0.6864  1 Ho 3.27, 6 Tb 3.35-3.64
Ho 0.6393 0.5448 0.3136  1 Ho 3.27, 6 Tb 3.35-3.64
Ho 0.9056 0.3607 0.3136  1 Ho 3.27, 6 Tb 3.35-3.64
Al 0.0000 0.0000 0.5000  6 Tb 2.96

Results
E_form: 0.096 eV per atom
total magnetic moment: 0.000 μB/f.u.
crystal system: trigonal
raw total energy: -4.454 eV/atom

=====

No. 4
Below is an optimized crystal structure of TbHo3Al8, with properties calculated at the GGA-PBE level.

Unit cell a=9.6446 b=9.6446 c=9.6446 alpha=33.41 beta=33.41 gamma=33.41
Closest atoms and distances in Å follow each position.
Fractional positions:
Tb 0.0000 0.0000 0.0000  12 Al 3.25-3.27, 4 Ho 3.40
Ho 0.1247 0.1247 0.1247  12 Al 3.25-3.26, 3 Ho 3.40, 1 Tb 3.40
Ho 0.5001 0.5001 0.5001  12 Al 3.25-3.26, 4 Ho 3.39-3.40
Ho 0.6245 0.6245 0.6245  12 Al 3.25-3.28, 1 Ho 3.39, 3 Tb 3.40
Al 0.0622 0.0622 0.5620  6 Al 2.77-2.78
Al 0.0622 0.5620 0.0622  6 Al 2.77-2.78
Al 0.0626 0.5626 0.5626  6 Al 2.77-2.79
Al 0.3123 0.3123 0.3123  6 Al 2.78-2.79
Al 0.5620 0.0622 0.0622  6 Al 2.77-2.78
Al 0.5626 0.0626 0.5626  6 Al 2.77-2.79
Al 0.5626 0.5626 0.0626  6 Al 2.77-2.79
Al 0.8124 0.8124 0.8124  6 Al 2.78

Results
E_form: -0.516 eV per atom
total magnetic moment: 0.000 μB/f.u.
crystal system: trigonal
raw total energy: -4.541 eV/atom

=====

No. 5
Below is an optimized crystal structure of TbHoAl, with properties calculated at the GGA-PBE level.

Unit cell a=5.0592 b=5.0592 c=3.5553 alpha=90.00 beta=90.00 gamma=120.00
Closest atoms and distances in Å follow each position.
Fractional positions:
Tb 0.0000 0.0000 0.0000  3 Al 3.10, 3 Ho 3.31
Ho 0.3333 0.6667 0.5603  3 Al 3.07, 3 Tb 3.31
Al 0.6667 0.3333 0.2951  3 Ho 3.07, 3 Tb 3.10

Results
E_form: -0.153 eV per atom
total magnetic moment: 0.000 μB/f.u.
crystal system: trigonal
raw total energy: -4.470 eV/atom

=====

No. 6
Below is an optimized crystal structure of TbHo5Al4, with properties calculated at the GGA-PBE level.

Unit cell a=3.5612 b=3.5612 c=19.5870 alpha=90.00 beta=90.00 gamma=90.00
Closest atoms and distances in Å follow each position.
Fractional positions:
Tb 0.0000 0.0000 0.0000  4 Tb 3.56, 8 Ho 3.56
Ho 0.5000 0.5000 0.1287  4 Al 3.11
Ho 0.5000 0.5000 0.3151  8 Al 3.10-3.11
Ho 0.5000 0.5000 0.5000  8 Al 3.10
Ho 0.5000 0.5000 0.6849  8 Al 3.10-3.11
Ho 0.5000 0.5000 0.8713  4 Al 3.11
Al 0.0000 0.0000 0.2217  8 Ho 3.11
Al 0.0000 0.0000 0.4074  8 Ho 3.10
Al 0.0000 0.0000 0.5926  8 Ho 3.10
Al 0.0000 0.0000 0.7783  8 Ho 3.11

Results
E_form: -0.313 eV per atom
total magnetic moment: 0.001 μB/f.u.
crystal system: tetragonal
raw total energy: -4.562 eV/atom

=====

No. 7
Below is an optimized crystal structure of TbHo5Al, with properties calculated at the GGA-PBE level.

Unit cell a=7.7851 b=11.3585 c=6.0288 alpha=90.00 beta=90.00 gamma=90.00
Closest atoms and distances in Å follow each position.
Fractional positions:
Tb 0.0000 0.0000 0.0000  6 Ho 3.31-3.63
Tb 0.5000 0.5000 0.5000  6 Ho 3.31-3.63
Ho 0.0000 0.2559 0.6387  1 Al 2.88
Ho 0.0000 0.5000 0.2964  1 Al 2.84, 2 Ho 3.04
Ho 0.0000 0.7441 0.6387  1 Al 2.88
Ho 0.1880 0.0000 0.4927  1 Al 2.78, 2 Ho 2.93-3.04
Ho 0.3120 0.5000 0.9927  1 Al 2.78, 2 Ho 2.93-3.04
Ho 0.5000 0.0000 0.7964  1 Al 2.84, 2 Ho 3.04
Ho 0.5000 0.2441 0.1387  1 Al 2.88
Ho 0.5000 0.7559 0.1387  1 Al 2.88
Ho 0.6880 0.5000 0.9927  1 Al 2.78, 2 Ho 2.93-3.04
Ho 0.8120 0.0000 0.4927  1 Al 2.78, 2 Ho 2.93-3.04
Al 0.0000 0.5000 0.7677  5 Ho 2.78-2.88
Al 0.5000 0.0000 0.2677  5 Ho 2.78-2.88

Results
E_form: 0.726 eV per atom
total magnetic moment: 0.000 μB/f.u.
crystal system: orthorhombic
raw total energy: -3.740 eV/atom

=====

No. 8
Below is an optimized crystal structure of TbHo3Al8, with properties calculated at the GGA-PBE level.

Unit cell a=5.5431 b=5.5431 c=9.1003 alpha=90.00 beta=90.00 gamma=120.00
Closest atoms and distances in Å follow each position.
Fractional positions:
Tb 0.0000 0.0000 0.0000  12 Al 3.23-3.29, 4 Ho 3.32-3.43
Ho 0.0000 0.0000 0.3645  12 Al 3.23-3.28, 1 Tb 3.32, 3 Ho 3.43
Ho 0.6667 0.3333 0.4996  12 Al 3.23-3.27, 4 Ho 3.32-3.43
Ho 0.6667 0.3333 0.8642  12 Al 3.23-3.29, 1 Ho 3.32, 3 Tb 3.43
Al 0.1621 0.3242 0.6817  6 Al 2.70-2.85
Al 0.1621 0.8379 0.6817  6 Al 2.70-2.85
Al 0.3333 0.6667 0.4326  6 Al 2.80
Al 0.3333 0.6667 0.9319  6 Al 2.81
Al 0.5046 0.0091 0.1830  6 Al 2.70-2.85
Al 0.5046 0.4954 0.1830  6 Al 2.70-2.85
Al 0.6758 0.8379 0.6817  6 Al 2.70-2.85
Al 0.9909 0.4954 0.1830  6 Al 2.70-2.85

Results
E_form: -0.507 eV per atom
total magnetic moment: 0.000 μB/f.u.
crystal system: trigonal
raw total energy: -4.532 eV/atom

=====

No. 9
Below is an optimized crystal structure of Tb3HoAl3, with properties calculated at the GGA-PBE level.

Unit cell a=7.2503 b=7.2503 c=6.9297 alpha=90.00 beta=90.00 gamma=90.41
Closest atoms and distances in Å follow each position.
Fractional positions:
Tb 0.2388 0.2388 0.5000  6 Al 3.09-3.16
Tb 0.2445 0.7555 0.0000  6 Al 3.10-3.17, 2 Ho 3.46
Tb 0.2459 0.2459 0.0000  6 Al 3.11-3.15, 2 Tb 3.47
Tb 0.7541 0.7541 0.0000  6 Al 3.11-3.15, 2 Tb 3.47
Tb 0.7555 0.2445 0.0000  6 Al 3.10-3.17, 2 Ho 3.46
Tb 0.7612 0.7612 0.5000  6 Al 3.09-3.16
Ho 0.2465 0.7535 0.5000  6 Al 3.07-3.11
Ho 0.7535 0.2465 0.5000  6 Al 3.07-3.11
Al 0.0000 0.5000 0.2531  2 Ho 3.07, 6 Tb 3.09-3.11, 1 Al 3.42
Al 0.0000 0.5000 0.7469  2 Ho 3.07, 6 Tb 3.09-3.11, 1 Al 3.42
Al 0.5000 0.0000 0.2531  2 Ho 3.07, 6 Tb 3.09-3.11, 1 Al 3.42
Al 0.5000 0.0000 0.7469  2 Ho 3.07, 6 Tb 3.09-3.11, 1 Al 3.42
Al 0.5000 0.5000 0.2563  2 Ho 3.11, 6 Tb 3.15-3.17, 1 Al 3.38
Al 0.5000 0.5000 0.7437  2 Ho 3.11, 6 Tb 3.15-3.17, 1 Al 3.38

Results
E_form: -0.266 eV per atom
total magnetic moment: 0.000 μB/f.u.
crystal system: orthorhombic
raw total energy: -4.508 eV/atom

=====

No. 10
Below is an optimized crystal structure of TbHo7Al5, with properties calculated at the GGA-PBE level.

Unit cell a=7.9875 b=7.9875 c=7.9875 alpha=135.20 beta=100.51 gamma=96.21
Closest atoms and distances in Å follow each position.
Fractional positions:
Tb 0.0000 0.0000 0.0000  8 Ho 3.45-3.68, 4 Al 3.80
Ho 0.1868 0.4933 0.6935  5 Al 3.01-3.24, 1 Ho 3.19
Ho 0.3152 0.9780 0.3371  5 Al 3.15-3.25, 4 Ho 3.33-3.42, 1 Tb 3.45
Ho 0.3264 0.3264 0.0000  6 Al 3.05-3.23
Ho 0.6409 0.9780 0.6629  5 Al 3.15-3.25, 4 Ho 3.33-3.42, 1 Tb 3.45
Ho 0.6547 0.6547 0.0000  4 Al 3.17, 3 Ho 3.24-3.50
Ho 0.7586 0.2586 0.5000  4 Al 3.06, 6 Ho 3.19-3.42
Ho 0.7997 0.4933 0.3065  5 Al 3.01-3.24, 1 Ho 3.19
Al 0.2252 0.7252 0.5000  4 Al 2.90, 6 Ho 3.17-3.23
Al 0.4721 0.4789 0.4880  3 Al 2.90-3.08, 6 Ho 3.01-3.24
Al 0.4721 0.9841 0.9932  3 Al 2.90-3.08, 6 Ho 3.01-3.24
Al 0.9909 0.4789 0.0068  3 Al 2.90-3.08, 6 Ho 3.01-3.24
Al 0.9909 0.9841 0.5120  3 Al 2.90-3.08, 6 Ho 3.01-3.24

Results
E_form: -0.226 eV per atom
total magnetic moment: 0.000 μB/f.u.
crystal system: orthorhombic
raw total energy: -4.486 eV/atom

=====

Number 2 is which compound? Tb2Ho3Al

=====

Repeat the fifth record exactly.
Below is an optimized crystal structure of TbHoAl, with properties calculated at the GGA-PBE level.

Unit cell a=5.0592 b=5.0592 c=3.5553 alpha=90.00 beta=90.00 gamma=120.00
Closest atoms and distances in Å follow each position.
Fractional positions:
Tb 0.0000 0.0000 0.0000  3 Al 3.10, 3 Ho 3.31
Ho 0.3333 0.6667 0.5603  3 Al 3.07, 3 Tb 3.31
Al 0.6667 0.3333 0.2951  3 Ho 3.07, 3 Tb 3.10

Results
E_form: -0.153 eV per atom
total magnetic moment: 0.000 μB/f.u.
crystal system: trigonal
raw total energy: -4.470 eV/atom